P) # LaIClO2 | Alexandria | PBE-GGA | relaxed
# magnetic moment	0.00	μB/cell
data_LaIClO2
_chemical_formula_sum 'La1 I1 Cl1 O2'
_cell_length_a 4.575
_cell_length_b 4.575
_cell_length_c 4.960
_cell_angle_alpha 90.00
_cell_angle_beta 90.00
_cell_angle_gamma 90.00
_space_group_name_H-M_alt 'P 1'
_space_group_IT_number 1
loop_
_space_group_symop_operation_xyz
'x,y,z'
loop_
_atom_site_label
_atom_site_type_symbol
_atom_site_fract_x
_atom_site_fract_y
_atom_site_fract_z
La1 La 0.500 0.500 0.500
O1 O 0.000 0.500 0.000
O2 O 0.500 0.000 0.000
I1 I 0.000 0.000 0.500
Cl1 Cl 0.000 0.000 0.000

***

Q) # LaIClO2 | Alexandria | PBE-GGA | relaxed
# magnetic moment	0.00	μB/cell
data_LaIClO2
_chemical_formula_sum 'La1 I1 Cl1 O2'
_cell_length_a 4.339
_cell_length_b 4.339
_cell_length_c 7.471
_cell_angle_alpha 90.00
_cell_angle_beta 90.00
_cell_angle_gamma 90.00
_space_group_name_H-M_alt 'P 1'
_space_group_IT_number 1
loop_
_space_group_symop_operation_xyz
'x,y,z'
loop_
_atom_site_label
_atom_site_type_symbol
_atom_site_fract_x
_atom_site_fract_y
_atom_site_fract_z
O1 O 0.000 0.500 0.000
O2 O 0.500 0.000 0.000
Cl1 Cl 0.500 0.500 0.500
La1 La 0.000 0.000 0.000
I1 I 0.000 0.000 0.500

***

It comes down to Q), which is 1.020 eV/atom more stable than the next structure.

***

P) # LaP2ICl | Alexandria | PBE-GGA | relaxed
# magnetic moment	0.00	μB/cell
data_LaP2ICl
_chemical_formula_sum 'La1 P2 I1 Cl1'
_cell_length_a 5.186
_cell_length_b 5.186
_cell_length_c 5.190
_cell_angle_alpha 90.00
_cell_angle_beta 90.00
_cell_angle_gamma 90.00
_space_group_name_H-M_alt 'P 1'
_space_group_IT_number 1
loop_
_space_group_symop_operation_xyz
'x,y,z'
loop_
_atom_site_label
_atom_site_type_symbol
_atom_site_fract_x
_atom_site_fract_y
_atom_site_fract_z
La1 La 0.500 0.500 0.500
P1 P 0.000 0.500 0.000
P2 P 0.500 0.000 0.000
I1 I 0.000 0.000 0.000
Cl1 Cl 0.000 0.000 0.500

***

Q) # LaP2ICl | Alexandria | PBE-GGA | relaxed
# magnetic moment	3.32	μB/cell
data_LaP2ICl
_chemical_formula_sum 'La1 P2 I1 Cl1'
_cell_length_a 5.935
_cell_length_b 5.935
_cell_length_c 5.426
_cell_angle_alpha 90.00
_cell_angle_beta 90.00
_cell_angle_gamma 90.00
_space_group_name_H-M_alt 'P 1'
_space_group_IT_number 1
loop_
_space_group_symop_operation_xyz
'x,y,z'
loop_
_atom_site_label
_atom_site_type_symbol
_atom_site_fract_x
_atom_site_fract_y
_atom_site_fract_z
Cl1 Cl 0.000 0.000 0.500
La1 La 0.000 0.000 0.000
I1 I 0.500 0.500 0.500
P1 P 0.000 0.500 0.000
P2 P 0.500 0.000 0.000

***

It comes down to Q), which is 0.111 eV/atom more stable than the next structure.

***

P) # LaS2ICl | Alexandria | PBE-GGA | relaxed
# magnetic moment	0.32	μB/cell
data_LaS2ICl
_chemical_formula_sum 'La1 S2 I1 Cl1'
_cell_length_a 5.371
_cell_length_b 5.371
_cell_length_c 5.186
_cell_angle_alpha 90.00
_cell_angle_beta 90.00
_cell_angle_gamma 90.00
_space_group_name_H-M_alt 'P 1'
_space_group_IT_number 1
loop_
_space_group_symop_operation_xyz
'x,y,z'
loop_
_atom_site_label
_atom_site_type_symbol
_atom_site_fract_x
_atom_site_fract_y
_atom_site_fract_z
S1 S 0.000 0.500 0.000
S2 S 0.500 0.000 0.000
La1 La 0.500 0.500 0.500
I1 I 0.000 0.000 0.000
Cl1 Cl 0.000 0.000 0.500

***

Q) # LaS2ICl | Alexandria | PBE-GGA | relaxed
# magnetic moment	3.06	μB/cell
data_LaS2ICl
_chemical_formula_sum 'La1 S2 I1 Cl1'
_cell_length_a 5.752
_cell_length_b 5.752
_cell_length_c 5.470
_cell_angle_alpha 90.00
_cell_angle_beta 90.00
_cell_angle_gamma 90.00
_space_group_name_H-M_alt 'P 1'
_space_group_IT_number 1
loop_
_space_group_symop_operation_xyz
'x,y,z'
loop_
_atom_site_label
_atom_site_type_symbol
_atom_site_fract_x
_atom_site_fract_y
_atom_site_fract_z
I1 I 0.500 0.500 0.500
Cl1 Cl 0.000 0.000 0.500
S1 S 0.000 0.500 0.000
S2 S 0.500 0.000 0.000
La1 La 0.000 0.000 0.000

***

It comes down to Q), which is 0.489 eV/atom more stable than the next structure.

***

P) # LaSbI2Cl | Alexandria | PBE-GGA | relaxed
# magnetic moment	1.33	μB/cell
data_LaSbI2Cl
_chemical_formula_sum 'La1 Sb1 I2 Cl1'
_cell_length_a 6.112
_cell_length_b 6.112
_cell_length_c 6.715
_cell_angle_alpha 90.00
_cell_angle_beta 90.00
_cell_angle_gamma 90.00
_space_group_name_H-M_alt 'P 1'
_space_group_IT_number 1
loop_
_space_group_symop_operation_xyz
'x,y,z'
loop_
_atom_site_label
_atom_site_type_symbol
_atom_site_fract_x
_atom_site_fract_y
_atom_site_fract_z
La1 La 0.000 0.000 0.000
Cl1 Cl 0.500 0.500 0.500
Sb1 Sb 0.000 0.000 0.500
I1 I 0.000 0.500 0.000
I2 I 0.500 0.000 0.000

***

Q) # LaSbI2Cl | Alexandria | PBE-GGA | relaxed
# magnetic moment	0.42	μB/cell
data_LaSbI2Cl
_chemical_formula_sum 'La1 Sb1 I2 Cl1'
_cell_length_a 6.279
_cell_length_b 6.279
_cell_length_c 5.153
_cell_angle_alpha 90.00
_cell_angle_beta 90.00
_cell_angle_gamma 90.00
_space_group_name_H-M_alt 'P 1'
_space_group_IT_number 1
loop_
_space_group_symop_operation_xyz
'x,y,z'
loop_
_atom_site_label
_atom_site_type_symbol
_atom_site_fract_x
_atom_site_fract_y
_atom_site_fract_z
I1 I 0.500 0.000 0.000
I2 I 0.000 0.500 0.000
La1 La 0.500 0.500 0.500
Sb1 Sb 0.000 0.000 0.000
Cl1 Cl 0.000 0.000 0.500

***

It comes down to P), which is 0.267 eV/atom more stable than the next structure.